Compound: ThGeIr2
Source: Alexandria via LeMat-Bulk
Functional: PBE
Structure: optimized geometry Values from VASP.

Output
The theoretical density is 14.891 g/cm³. The crystal system is orthorhombic. The space group is Pnma (62). The value obtained for the formation energy is -272.7 kJ/mol of formula units.

Cell and atoms, written as Quantum ESPRESSO input:
```
&SYSTEM
  ibrav = 0, nat = 16, ntyp = 3
/
ATOMIC_SPECIES
Ge 72.64 Ge.upf
Ir 192.22 Ir.upf
Th 232.04 Th.upf
ATOMIC_POSITIONS angstrom
Ge 3.192 3.079 9.146
Ir 1.064 1.838 9.894
Ir 3.192 3.951 6.775
Ir 3.192 5.160 0.427
Ir 1.064 3.047 3.545
Ir 3.192 0.452 8.705
Ir 3.192 1.661 4.734
Ir 1.064 5.337 5.587
Th 3.192 1.559 1.709
Ir 1.064 6.546 1.615
Ge 3.192 6.578 6.334
Th 3.192 5.059 3.451
Ge 1.064 0.420 3.986
Th 1.064 1.940 6.869
Th 1.064 5.439 8.611
Ge 1.064 3.919 1.174
CELL_PARAMETERS angstrom
4.256 0.000 0.000
0.000 6.998 0.000
0.000 0.000 10.320
```